Computed, not measured: FeReBO after structural relaxation at the PBE+U level of DFT.

Output
Energy relative to the lowest polymorph listed for this composition = 85 meV per atom
Electronic total energy = -30.5 eV/f.u.
Crystal system = orthorhombic
Space-group type = Imm2
M_tot = 2.6 μB per cell
Fermi-level density of states = 0.482 states/eV/atom
Calculated volume = 11.32 Å³/atom

POSCAR file:
```
FeReBO
1.0
-1.376 1.452 5.667
1.376 -1.452 5.667
1.376 1.452 -5.667
Fe Re B O
1 1 1 1
direct
0.000 0.000 0.000
0.229 0.229 0.000
0.642 0.642 0.000
0.363 0.863 0.500
```